Record 1
VASP calculation (PBE-GGA) on a relaxed ThTl2InTe5 crystal.

a = 10.5101 Å, b = 10.5101 Å, c = 14.7068 Å
α = 90.00°, β = 90.00°, γ = 155.80°
Element x y z (fractional)
Th1 0.2048 0.7952 0.5000
Th2 0.7952 0.2048 0.0000
Tl1 0.1146 0.8854 0.8000
Tl2 0.1187 0.8813 0.1300
Tl3 0.8813 0.1187 0.6300
Tl4 0.8854 0.1146 0.3000
In1 0.4384 0.5616 0.8936
In2 0.5616 0.4384 0.3936
Te1 0.0462 0.9538 0.5155
Te2 0.2905 0.7095 0.1471
Te3 0.3035 0.6965 0.8448
Te4 0.3550 0.6450 0.4690
Te5 0.4956 0.5044 0.2296
Te6 0.5044 0.4956 0.7296
Te7 0.6450 0.3550 0.9690
Te8 0.6965 0.3035 0.3448
Te9 0.7095 0.2905 0.6471
Te10 0.9538 0.0462 0.0155

Summary:
The total energy comes out at -3.95 eV/atom. Its volume is 665.9 Å³/cell. Its uncorrected formation energy is -547 meV per atom.

***

Record 2
VASP calculation (PBE-GGA) on a relaxed Th2TlIn3Te6 crystal.

a = 10.6309 Å, b = 10.6309 Å, c = 9.7310 Å
α = 105.10°, β = 105.10°, γ = 24.86°
Element x y z (fractional)
Th1 0.1667 0.1667 0.3293
Th2 0.8333 0.8333 0.6707
Tl1 0.5000 0.5000 0.0000
In1 0.1558 0.1558 0.8303
In2 0.5000 0.5000 0.5000
In3 0.8442 0.8442 0.1697
Te1 0.0176 0.0176 0.2680
Te2 0.3245 0.3245 0.8881
Te3 0.3286 0.3286 0.4365
Te4 0.6714 0.6714 0.5635
Te5 0.6755 0.6755 0.1119
Te6 0.9824 0.9824 0.7320

Summary:
The total energy comes out at -4.38 eV/atom. Its volume is 445.6 Å³/cell. Its uncorrected formation energy is -692 meV per atom.

***

Record 3
VASP calculation (PBE-GGA) on a relaxed Y2ThIn3Te6 crystal.

a = 7.5932 Å, b = 7.5932 Å, c = 8.6338 Å
α = 98.43°, β = 98.43°, γ = 120.00°
Element x y z (fractional)
Y1 0.1668 0.8332 0.0000
Y2 0.8332 0.1668 0.0000
Th1 0.5000 0.5000 0.0000
In1 0.0000 0.0000 0.5000
In2 0.3339 0.6661 0.5000
In3 0.6661 0.3339 0.5000
Te1 0.0888 0.4251 0.7757
Te2 0.2380 0.2380 0.2235
Te3 0.4251 0.0888 0.7757
Te4 0.5749 0.9112 0.2243
Te5 0.7620 0.7620 0.7765
Te6 0.9112 0.5749 0.2243

Summary:
The total energy comes out at -4.85 eV/atom. Its volume is 412.2 Å³/cell. Its uncorrected formation energy is -901 meV per atom.

***

Record 4
VASP calculation (PBE-GGA) on a relaxed TiInTe3 crystal.

a = 5.4126 Å, b = 5.4126 Å, c = 5.4126 Å
α = 90.00°, β = 90.00°, γ = 90.00°
Element x y z (fractional)
Ti1 0.0000 0.0000 0.0000
In1 0.5000 0.5000 0.5000
Te1 0.0000 0.0000 0.5000
Te2 0.0000 0.5000 0.0000
Te3 0.5000 0.0000 0.0000

Summary:
The total energy comes out at -4.25 eV/atom. Its volume is 158.6 Å³/cell. Its uncorrected formation energy is -243 meV per atom. As for the energy relative to the lowest polymorph listed for this composition: 14.07 kJ/mol of atoms.

***

Record 5
VASP calculation (PBE-GGA) on a relaxed Ti3InTe crystal.

a = 7.2362 Å, b = 7.2362 Å, c = 7.0897 Å
α = 97.28°, β = 97.28°, γ = 39.33°
Element x y z (fractional)
Ti1 0.0286 0.0286 0.1878
Ti2 0.1847 0.1847 0.9548
Ti3 0.2651 0.2651 0.2940
Ti4 0.7349 0.7349 0.7060
Ti5 0.8153 0.8153 0.0452
Ti6 0.9714 0.9714 0.8122
In1 0.3940 0.3940 0.9566
In2 0.6060 0.6060 0.0434
Te1 0.1350 0.1350 0.5658
Te2 0.8650 0.8650 0.4342

Summary:
The total energy comes out at -6.02 eV/atom. Its volume is 233.1 Å³/cell. Its uncorrected formation energy is -110 meV per atom. As for the energy relative to the lowest polymorph listed for this composition: 0.00 kJ/mol of atoms.

***

Record 6
VASP calculation (PBE-GGA) on a relaxed TiIn2Te crystal.

a = 6.6189 Å, b = 6.6189 Å, c = 6.6189 Å
α = 101.50°, β = 101.50°, γ = 126.95°
Element x y z (fractional)
Ti1 0.0000 0.0000 0.0000
Ti2 0.7500 0.2500 0.5000
In1 0.1053 0.6250 0.9803
In2 0.3750 0.3553 0.4803
In3 0.6447 0.1250 0.0197
In4 0.8750 0.8947 0.5197
Te1 0.2500 0.7500 0.5000
Te2 0.5000 0.5000 0.0000

Summary:
The total energy comes out at -3.95 eV/atom. Its volume is 207.3 Å³/cell. Its uncorrected formation energy is 176 meV per atom.